A geometry-optimized ZrInP2 structure, computed with PBE.

Cell and atoms, written as POSCAR:
```
ZrInP2
1.0
5.016 0.015 0.002
1.068 4.901 -0.002
-2.525 -3.098 3.031
In Zr P
1 1 2
Cartesian
0.793 2.131 1.515 In
2.767 -0.313 1.517 Zr
3.014 2.435 0.000 P
0.028 0.023 0.000 P
```

Summary:
- Final energy: -0.420 Ry/atom
- Spin magnetization: 0.0 μB/cell
- Energy relative to the elements: -0.19 eV per atom
- Symmetry: Immm (71)